A plane-wave DFT calculation with PBE was carried out for a relaxed structure of Na2NdNpTe4.

abc: 7.8537 4.5244 7.9695
angles: 90.00 109.27 90.00
Closest atoms and distances in Å follow each position.
Element x y z (fractional)
Na 0.0000 0.0000 0.0000  6 Te 3.29-3.30
Na 0.5000 0.5000 0.0000  6 Te 3.26-3.27
Nd 0.0000 0.5000 0.5000  6 Te 3.18
Np 0.5000 0.0000 0.5000  6 Te 3.14-3.16
Te 0.2492 0.0000 0.7391  1 Np 3.16, 2 Nd 3.18, 3 Na 3.26-3.29
Te 0.2583 0.5000 0.2650  2 Np 3.14, 1 Nd 3.18, 3 Na 3.27-3.30
Te 0.7417 0.5000 0.7350  2 Np 3.14, 1 Nd 3.18, 3 Na 3.27-3.30
Te 0.7508 0.0000 0.2609  1 Np 3.16, 2 Nd 3.18, 3 Na 3.26-3.29

spin magnetization = 4.00 μB per cell
DFT total energy = -41.42 eV for the cell shown
mass density = 5.82 g cm⁻³